## Nd2SmScAs4 (PBE)

Data for an optimized crystal structure of Nd2SmScAs4.

Cell and atoms, written as POSCAR:
```
Nd2SmScAs4
1.0
4.175 0.000 0.000
0.000 7.215 0.124
0.000 -2.524 6.754
As Sm Nd Sc
4 1 2 1
Cartesian
2.088 3.580 5.274
0.000 -0.155 5.165
2.088 1.111 1.605
0.000 4.845 1.713
2.088 3.607 0.062
2.088 -1.262 3.377
0.000 2.345 3.439
0.000 0.000 0.000
```

Calculated values
energy of formation: -1.446 eV per atom
density of states at the Fermi level: 0.08 states/eV/atom
energy: -6.344 eV per atom
volume: 25.6 A^3/atom